# SmHo2MoN4 | Alexandria via LeMat-Bulk | GGA-PBE | relaxed
data_SmHo2MoN4
_space_group_name_H-M_alt 'P 1'
_space_group_IT_number 1
_cell_length_a 6.0964
_cell_length_b 6.0964
_cell_length_c 11.7812
_cell_angle_alpha 90.00
_cell_angle_beta 90.00
_cell_angle_gamma 147.52
loop_
_space_group_symop_operation_xyz
'x,y,z'
loop_
_atom_site_label
_atom_site_type_symbol
_atom_site_fract_x
_atom_site_fract_y
_atom_site_fract_z
Sm1 Sm 0.1024 0.8976 0.7500
Sm2 Sm 0.8976 0.1024 0.2500
Ho1 Ho 0.3698 0.6302 0.5388
Ho2 Ho 0.3698 0.6302 0.9612
Ho3 Ho 0.6302 0.3698 0.0388
Ho4 Ho 0.6302 0.3698 0.4612
Mo1 Mo 0.1575 0.8425 0.2500
Mo2 Mo 0.8425 0.1575 0.7500
N1 N 0.0000 0.0000 0.0000
N2 N 0.0000 0.0000 0.5000
N3 N 0.2633 0.7367 0.1236
N4 N 0.2633 0.7367 0.3764
N5 N 0.4461 0.5539 0.7500
N6 N 0.5539 0.4461 0.2500
N7 N 0.7367 0.2633 0.6236
N8 N 0.7367 0.2633 0.8764
# Formation energy from raw total energies = -889 kJ/mol of formula units
# V = 235.1 Å³ per cell